DFT (PBE-GGA) results for PmAlPt2 after structural relaxation.

Computed properties:
Electronic total energy = -6.093 eV per atom
Space-group type = P4/mmm
DOS(E_F) = 0.41 states/eV per atom
Size of the total moment = 0.00 μB/f.u.

Cell lengths 3.1632, 3.1632, 7.3148 Å; angles 90.00, 90.00, 90.00 degrees
Last column: nearest neighbours and their distance in Å.
Sites, in units of the cell vectors:
Pm 0.0000 0.0000 0.0000  8 Pt 3.14, 4 Pm 3.16
Al 0.0000 0.0000 0.5000  8 Pt 2.67
Pt 0.5000 0.5000 0.3005  4 Al 2.67, 1 Pt 2.92
Pt 0.5000 0.5000 0.6995  4 Al 2.67, 1 Pt 2.92

=====

DFT (PBE-GGA) results for PmAlPt after structural relaxation.

Computed properties:
Electronic total energy = -5.915 eV per atom
Space-group type = P2_1/m
DOS(E_F) = 0.60 states/eV per atom
Size of the total moment = 0.00 μB/f.u.

Cell lengths 7.1231, 4.3305, 12.1852 Å; angles 90.00, 91.29, 90.00 degrees
Last column: nearest neighbours and their distance in Å.
Sites, in units of the cell vectors:
Pm 0.0224 0.2500 0.3734  5 Pt 2.98-3.13, 2 Al 3.24
Pm 0.1507 0.2500 0.0809  5 Pt 2.99-3.17, 3 Al 3.26-3.27
Pm 0.4753 0.7500 0.7070  5 Pt 2.84-3.06, 1 Al 3.15
Pm 0.5247 0.2500 0.2930  5 Pt 2.84-3.06, 1 Al 3.15
Pm 0.8493 0.7500 0.9191  5 Pt 2.99-3.17, 3 Al 3.26-3.27
Pm 0.9776 0.7500 0.6266  5 Pt 2.98-3.13, 2 Al 3.24
Al 0.1484 0.2500 0.7992  4 Pt 2.69-2.95, 1 Al 2.89
Al 0.3531 0.7500 0.4571  4 Pt 2.63-2.72
Al 0.4939 0.7500 0.0833  4 Pt 2.60-2.74, 1 Al 2.89
Al 0.5061 0.2500 0.9167  4 Pt 2.60-2.74, 1 Al 2.89
Al 0.6469 0.2500 0.5429  4 Pt 2.63-2.72
Al 0.8516 0.7500 0.2008  4 Pt 2.69-2.95, 1 Al 2.89
Pt 0.2311 0.7500 0.2440  3 Al 2.72-2.74, 2 Pm 2.99
Pt 0.2771 0.2500 0.5705  3 Al 2.63-2.66
Pt 0.2794 0.7500 0.9077  5 Al 2.60-2.70, 1 Pm 2.84
Pt 0.7206 0.2500 0.0923  5 Al 2.60-2.70, 1 Pm 2.84
Pt 0.7229 0.7500 0.4295  3 Al 2.63-2.66
Pt 0.7689 0.2500 0.7560  3 Al 2.72-2.74, 2 Pm 2.99

=====

DFT (PBE-GGA) results for PmAl4Pt after structural relaxation.

Computed properties:
Electronic total energy = -4.654 eV per atom
Space-group type = P4/mmm
DOS(E_F) = 0.79 states/eV per atom
Size of the total moment = 0.00 μB/f.u.

Cell lengths 4.1084, 4.1084, 8.0436 Å; angles 90.00, 90.00, 90.00 degrees
Last column: nearest neighbours and their distance in Å.
Sites, in units of the cell vectors:
Pm 0.0000 0.0000 0.0000  8 Al 3.24
Al 0.0000 0.5000 0.3108  2 Pt 2.56
Al 0.0000 0.5000 0.6892  2 Pt 2.56
Al 0.5000 0.0000 0.3108  2 Pt 2.56
Al 0.5000 0.0000 0.6892  2 Pt 2.56
Pt 0.5000 0.5000 0.5000  8 Al 2.56

=====

DFT (PBE-GGA) results for Pm3AlPt8 after structural relaxation.

Computed properties:
Electronic total energy = -6.486 eV per atom
Space-group type = R3m
DOS(E_F) = 0.63 states/eV per atom
Size of the total moment = 0.00 μB/f.u.

Cell lengths 9.4528, 9.4528, 9.4528 Å; angles 33.70, 33.70, 33.70 degrees
Last column: nearest neighbours and their distance in Å.
Sites, in units of the cell vectors:
Pm 0.0000 0.0000 0.0000  12 Pt 3.19-3.22, 4 Pm 3.49-3.51
Pm 0.1306 0.1306 0.1306  12 Pt 3.06-3.31, 3 Al 3.17
Pm 0.6100 0.6100 0.6100  9 Pt 3.03-3.30
Al 0.4722 0.4722 0.4722  3 Pt 2.63
Pt 0.0579 0.5624 0.5624  1 Al 2.63, 6 Pt 2.72-2.76
Pt 0.0604 0.0604 0.5642  6 Pt 2.71-2.76, 2 Pm 3.03
Pt 0.0604 0.5642 0.0604  6 Pt 2.71-2.76, 2 Pm 3.03
Pt 0.3113 0.3113 0.3113  6 Pt 2.73
Pt 0.5624 0.0579 0.5624  1 Al 2.63, 6 Pt 2.72-2.76
Pt 0.5624 0.5624 0.0579  1 Al 2.63, 6 Pt 2.72-2.76
Pt 0.5642 0.0604 0.0604  6 Pt 2.71-2.76, 2 Pm 3.03
Pt 0.8124 0.8124 0.8124  6 Pt 2.71-2.76

=====

DFT (PBE-GGA) results for Pm2Al2Pt3 after structural relaxation.

Computed properties:
Electronic total energy = -6.119 eV per atom
Space-group type = Cmcm
DOS(E_F) = 0.74 states/eV per atom
Size of the total moment = 0.00 μB/f.u.

Cell lengths 9.7325, 9.7325, 7.2571 Å; angles 90.00, 90.00, 155.23 degrees
Last column: nearest neighbours and their distance in Å.
Sites, in units of the cell vectors:
Pm 0.0612 0.9388 0.7500  5 Pt 3.01-3.14
Pm 0.1469 0.8531 0.2500  6 Pt 2.96-3.18, 6 Al 3.19-3.30
Pm 0.8531 0.1469 0.7500  6 Pt 2.96-3.18, 6 Al 3.19-3.30
Pm 0.9388 0.0612 0.2500  5 Pt 3.01-3.14
Al 0.3040 0.6960 0.0557  4 Pt 2.56-2.66, 1 Al 2.82
Al 0.3040 0.6960 0.4443  4 Pt 2.56-2.66, 1 Al 2.82
Al 0.6960 0.3040 0.5557  4 Pt 2.56-2.66, 1 Al 2.82
Al 0.6960 0.3040 0.9443  4 Pt 2.56-2.66, 1 Al 2.82
Pt 0.2266 0.7734 0.7500  6 Al 2.59-2.66
Pt 0.4324 0.5676 0.5489  1 Al 2.56, 1 Pt 2.67
Pt 0.4324 0.5676 0.9511  1 Al 2.56, 1 Pt 2.67
Pt 0.5676 0.4324 0.0489  1 Al 2.56, 1 Pt 2.67
Pt 0.5676 0.4324 0.4511  1 Al 2.56, 1 Pt 2.67
Pt 0.7734 0.2266 0.2500  6 Al 2.59-2.66

=====

DFT (PBE-GGA) results for Pm3Al2Pt3 after structural relaxation.

Computed properties:
Electronic total energy = -6.054 eV per atom
Space-group type = Cmcm
DOS(E_F) = 0.81 states/eV per atom
Size of the total moment = 0.00 μB/f.u.

Cell lengths 6.0748, 6.0748, 14.3672 Å; angles 90.00, 90.00, 138.44 degrees
Last column: nearest neighbours and their distance in Å.
Sites, in units of the cell vectors:
Pm 0.0735 0.9265 0.6105  6 Pt 3.13-3.17, 4 Al 3.19-3.38
Pm 0.0735 0.9265 0.8895  6 Pt 3.13-3.17, 4 Al 3.19-3.38
Pm 0.3536 0.6464 0.7500  4 Pt 2.98-3.00, 4 Al 3.34
Pm 0.6464 0.3536 0.2500  4 Pt 2.98-3.00, 4 Al 3.34
Pm 0.9265 0.0735 0.1105  6 Pt 3.13-3.17, 4 Al 3.19-3.38
Pm 0.9265 0.0735 0.3895  6 Pt 3.13-3.17, 4 Al 3.19-3.38
Al 0.2223 0.7777 0.0830  4 Pt 2.55-2.69
Al 0.2223 0.7777 0.4170  4 Pt 2.55-2.69
Al 0.7777 0.2223 0.5830  4 Pt 2.55-2.69
Al 0.7777 0.2223 0.9170  4 Pt 2.55-2.69
Pt 0.3297 0.6703 0.2500  2 Al 2.69, 2 Pm 3.00
Pt 0.3871 0.6129 0.5439  3 Al 2.55-2.61
Pt 0.3871 0.6129 0.9561  3 Al 2.55-2.61
Pt 0.6129 0.3871 0.0439  3 Al 2.55-2.61
Pt 0.6129 0.3871 0.4561  3 Al 2.55-2.61
Pt 0.6703 0.3297 0.7500  2 Al 2.69, 2 Pm 3.00

=====

DFT (PBE-GGA) results for Pm6Al2Pt after structural relaxation.

Computed properties:
Electronic total energy = -4.932 eV per atom
Space-group type = Immm
DOS(E_F) = 1.37 states/eV per atom
Size of the total moment = 0.00 μB/f.u.

Cell lengths 8.8196, 8.8196, 8.8196 Å; angles 146.61, 131.08, 60.53 degrees
Last column: nearest neighbours and their distance in Å.
Sites, in units of the cell vectors:
Pm 0.0818 0.3387 0.7431  1 Pt 3.03, 3 Al 3.15-3.17
Pm 0.2398 0.0000 0.2398  2 Pt 3.08, 2 Al 3.17
Pm 0.4044 0.6613 0.7431  1 Pt 3.03, 3 Al 3.15-3.17
Pm 0.5956 0.3387 0.2569  1 Pt 3.03, 3 Al 3.15-3.17
Pm 0.7602 0.0000 0.7602  2 Pt 3.08, 2 Al 3.17
Pm 0.9182 0.6613 0.2569  1 Pt 3.03, 3 Al 3.15-3.17
Al 0.3334 0.8334 0.5000  8 Pm 3.15-3.17
Al 0.6666 0.1666 0.5000  8 Pm 3.15-3.17
Pt 0.0000 0.5000 0.5000  8 Pm 3.03-3.08

=====

DFT (PBE-GGA) results for Pm6AlPt2 after structural relaxation.

Computed properties:
Electronic total energy = -5.544 eV per atom
Space-group type = Immm
DOS(E_F) = 0.96 states/eV per atom
Size of the total moment = 0.00 μB/f.u.

Cell lengths 8.7431, 8.7431, 8.7431 Å; angles 113.63, 110.77, 104.15 degrees
Last column: nearest neighbours and their distance in Å.
Sites, in units of the cell vectors:
Pm 0.0437 0.2372 0.8066  1 Pt 2.92, 1 Al 3.19
Pm 0.1799 0.2881 0.4680  3 Pt 3.06-3.16, 1 Al 3.29
Pm 0.1799 0.7119 0.8919  3 Pt 3.06-3.16, 1 Al 3.29
Pm 0.3301 0.0264 0.6963  3 Pt 2.83-3.08
Pm 0.3301 0.6338 0.3037  3 Pt 2.83-3.08
Pm 0.4306 0.2372 0.1934  1 Pt 2.92, 1 Al 3.19
Pm 0.5694 0.7628 0.8066  1 Pt 2.92, 1 Al 3.19
Pm 0.6699 0.3662 0.6963  3 Pt 2.83-3.08
Pm 0.6699 0.9736 0.3037  3 Pt 2.83-3.08
Pm 0.8201 0.2881 0.1081  3 Pt 3.06-3.16, 1 Al 3.29
Pm 0.8201 0.7119 0.5320  3 Pt 3.06-3.16, 1 Al 3.29
Pm 0.9563 0.7628 0.1934  1 Pt 2.92, 1 Al 3.19
Al 0.0000 0.0000 0.0000  8 Pm 3.19-3.29, 2 Pt 3.34
Al 0.5000 0.5000 0.0000  12 Pm 3.42-3.77
Pt 0.1326 0.6326 0.5000  6 Pm 2.83-3.06, 1 Pt 2.85
Pt 0.3361 0.0000 0.3361  8 Pm 2.92-3.16, 1 Pt 3.26
Pt 0.6639 0.0000 0.6639  8 Pm 2.92-3.16, 1 Pt 3.26
Pt 0.8674 0.3674 0.5000  6 Pm 2.83-3.06, 1 Pt 2.85

=====

DFT (PBE-GGA) results for Pm4Al3Pt after structural relaxation.

Computed properties:
Electronic total energy = -5.091 eV per atom
Space-group type = Pmm2
DOS(E_F) = 0.95 states/eV per atom
Size of the total moment = 0.28 μB/f.u.

Cell lengths 3.9154, 4.4938, 11.7501 Å; angles 90.00, 90.00, 90.00 degrees
Last column: nearest neighbours and their distance in Å.
Sites, in units of the cell vectors:
Pm 0.0000 0.0000 0.0000  2 Pt 3.08, 4 Al 3.09
Pm 0.0000 0.5000 0.2782  4 Pt 3.11, 3 Al 3.12-3.40
Pm 0.5000 0.0000 0.4756  6 Al 3.17-3.27, 1 Pt 3.22
Pm 0.5000 0.5000 0.7899  7 Al 3.17-3.30
Al 0.0000 0.0000 0.6990  2 Al 2.73
Al 0.0000 0.5000 0.5676  2 Al 2.73
Al 0.5000 0.5000 0.0709  2 Pt 2.72
Pt 0.5000 0.0000 0.2019  2 Al 2.72

=====

DFT (PBE-GGA) results for Pm2Al3Pt5 after structural relaxation.

Computed properties:
Electronic total energy = -6.138 eV per atom
Space-group type = Cmc2_1
DOS(E_F) = 0.42 states/eV per atom
Size of the total moment = 0.00 μB/f.u.

Cell lengths 12.8294, 12.8294, 6.8642 Å; angles 90.00, 90.00, 161.13 degrees
Last column: nearest neighbours and their distance in Å.
Sites, in units of the cell vectors:
Pm 0.0244 0.9756 0.5000  5 Al 3.02-3.08, 8 Pt 3.07-3.24
Pm 0.3241 0.6759 0.5439  8 Pt 2.97-3.24, 1 Al 3.27
Pm 0.6759 0.3241 0.0439  8 Pt 2.97-3.24, 1 Al 3.27
Pm 0.9756 0.0244 0.0000  5 Al 3.02-3.08, 8 Pt 3.07-3.24
Al 0.1294 0.8706 0.7079  3 Pt 2.53-2.70
Al 0.2842 0.7158 0.0903  6 Pt 2.51-2.65
Al 0.4535 0.5465 0.6835  5 Pt 2.49-2.70
Al 0.5465 0.4535 0.1835  5 Pt 2.49-2.70
Al 0.7158 0.2842 0.5903  6 Pt 2.51-2.65
Al 0.8706 0.1294 0.2079  3 Pt 2.53-2.70
Pt 0.0978 0.9022 0.1438  2 Al 2.49
Pt 0.1963 0.8037 0.3658  4 Al 2.65-2.92, 5 Pt 2.91-2.97
Pt 0.2268 0.7732 0.7915  4 Al 2.51-2.53
Pt 0.3821 0.6179 0.9647  4 Al 2.62-2.70, 1 Pt 2.89
Pt 0.4461 0.5539 0.3141  2 Al 2.54-2.70
Pt 0.5539 0.4461 0.8141  2 Al 2.54-2.70
Pt 0.6179 0.3821 0.4647  4 Al 2.62-2.70, 1 Pt 2.89
Pt 0.7732 0.2268 0.2915  4 Al 2.51-2.53
Pt 0.8037 0.1963 0.8658  4 Al 2.65-2.92, 5 Pt 2.91-2.97
Pt 0.9022 0.0978 0.6438  2 Al 2.49

=====

DFT (PBE-GGA) results for Pm2AlPt3 after structural relaxation.

Computed properties:
Electronic total energy = -6.323 eV per atom
Space-group type = R-3m
DOS(E_F) = 0.52 states/eV per atom
Size of the total moment = 0.00 μB/f.u.

Cell lengths 5.3451, 5.3451, 5.3451 Å; angles 63.79, 63.79, 63.79 degrees
Last column: nearest neighbours and their distance in Å.
Sites, in units of the cell vectors:
Pm 0.1242 0.1242 0.1242  9 Pt 3.12-3.23, 4 Pm 3.15-3.44, 3 Al 3.31
Pm 0.8758 0.8758 0.8758  9 Pt 3.12-3.23, 4 Pm 3.15-3.44, 3 Al 3.31
Al 0.5000 0.5000 0.5000  6 Pt 2.67
Pt 0.0000 0.5000 0.5000  2 Al 2.67, 4 Pt 2.82
Pt 0.5000 0.0000 0.5000  2 Al 2.67, 4 Pt 2.82
Pt 0.5000 0.5000 0.0000  2 Al 2.67, 4 Pt 2.82

=====

Which of these has the lowest electronic total energy?
Pm3AlPt8